The following is a PBE-GGA calculation of a relaxed In2AgSnCl5 crystal, from Alexandria.

Computed properties:
Total magnetization in μB/atom: 0.000
Formation energy from raw total energies in eV/atom: -0.79

abc: 9.478 9.478 13.849
angles: 90.00 90.00 153.90
Fractional coordinates of all 18 atoms:
In1 0.088 0.912 0.500
In2 0.135 0.865 0.146
In3 0.865 0.135 0.646
In4 0.912 0.088 0.000
Ag1 0.455 0.545 0.262
Ag2 0.545 0.455 0.762
Sn1 0.209 0.791 0.858
Sn2 0.791 0.209 0.358
Cl1 0.039 0.961 0.867
Cl2 0.281 0.719 0.498
Cl3 0.306 0.694 0.218
Cl4 0.353 0.647 0.828
Cl5 0.489 0.511 0.595
Cl6 0.511 0.489 0.095
Cl7 0.647 0.353 0.328
Cl8 0.694 0.306 0.718
Cl9 0.719 0.281 0.998
Cl10 0.961 0.039 0.367